VASP calculation (PBE) on an optimized crystal structure of NaTcMoPt2.

Results
E = -24.432 eV per cell
SG = P4/mmm
Formation enthalpy at 0 K = 196.2 kJ per mole of atoms

Cell: 4.3985 4.5496 4.3985 Å, 90.00 90.00 90.00°
Fractional coordinates of all 5 atoms:
Tc: 0.5000 0.5000 0.5000
Mo: 0.0000 0.5000 0.0000
Na: 0.0000 0.0000 0.0000
Pt: 0.5000 0.0000 0.0000
Pt: 0.0000 0.0000 0.5000